# 1
# RbAuCl3, optimized geometry, DFT PBE
data_RbAuCl3
_chemical_formula_sum 'Rb2 Au2 Cl6'
_symmetry_space_group_name_H-M 'P -1'
_symmetry_Int_Tables_number 2
_cell_length_a 6.725
_cell_length_b 6.829
_cell_length_c 8.509
_cell_angle_alpha 91.03
_cell_angle_beta 93.77
_cell_angle_gamma 119.48
loop_
_symmetry_equiv_pos_as_xyz
'x,y,z'
'-x,-y,-z'
loop_
_atom_site_label
_atom_site_fract_x
_atom_site_fract_y
_atom_site_fract_z
Rb1 0.174 0.335 0.245
Au1 0.500 0.000 0.000
Au2 0.500 0.000 0.500
Cl1 0.155 0.824 0.111
Cl2 0.289 0.137 0.620
Cl3 0.296 0.656 0.612
# * total magnetization: 0.0 μB per formula unit
# * crystal system: triclinic
# * uncorrected formation energy: -0.997 eV per atom
# * calculated total energy: -14.768 eV/f.u.

# 2
# AsPbSe2, optimized geometry, DFT PBE
data_AsPbSe2
_chemical_formula_sum 'As2 Pb2 Se4'
_symmetry_space_group_name_H-M 'I -4 m 2'
_symmetry_Int_Tables_number 119
_symmetry_space_group_name_Hall 'I -4 -2'
_cell_length_a 3.979
_cell_length_b 3.979
_cell_length_c 14.036
_cell_angle_alpha 90.00
_cell_angle_beta 90.00
_cell_angle_gamma 90.00
loop_
_atom_site_label
_atom_site_fract_x
_atom_site_fract_y
_atom_site_fract_z
As1 0.000 0.000 0.000
Pb1 0.000 0.500 0.750
Se1 0.000 0.000 0.500
Se2 0.000 0.500 0.250
# * total magnetization: 0.0 μB per formula unit
# * crystal system: tetragonal
# * uncorrected formation energy: 0.148 eV per atom
# * calculated total energy: -14.734 eV/f.u.

# 3
# Ba3CoSn, optimized geometry, DFT PBE
data_Ba3CoSn
_chemical_formula_sum 'Ba3 Co1 Sn1'
_symmetry_space_group_name_H-M 'P m -3 m'
_symmetry_Int_Tables_number 221
_symmetry_space_group_name_Hall '-P 4 2 3'
_cell_length_a 5.762
_cell_length_b 5.762
_cell_length_c 5.762
_cell_angle_alpha 90.00
_cell_angle_beta 90.00
_cell_angle_gamma 90.00
loop_
_atom_site_label
_atom_site_fract_x
_atom_site_fract_y
_atom_site_fract_z
Ba1 0.000 0.000 0.500
Co1 0.000 0.000 0.000
Sn1 0.500 0.500 0.500
# * DFT formation energy: 0.0235 eV per atom
# * total magnetization: 0.8 μB per formula unit
# * crystal system: cubic
# * calculated total energy: -16.759 eV/f.u.

# 4
# Mg5Ag4, optimized geometry, DFT PBE
data_Mg5Ag4
_chemical_formula_sum 'Mg10 Ag8'
_symmetry_space_group_name_H-M 'P 63/m c m'
_symmetry_Int_Tables_number 193
_symmetry_space_group_name_Hall '-P 6c 2'
_cell_length_a 8.3154
_cell_length_b 8.3154
_cell_length_c 5.7685
_cell_angle_alpha 90.00
_cell_angle_beta 90.00
_cell_angle_gamma 120.00
loop_
_atom_site_label
_atom_site_fract_x
_atom_site_fract_y
_atom_site_fract_z
Mg1 0.0000 0.2974 0.2500
Mg2 0.3333 0.6667 0.0000
Ag1 0.0000 0.0000 0.0000
Ag2 0.0000 0.3692 0.7500
# * DFT formation energy: -0.1832 eV per atom
# * total magnetization: 0.0 μB per formula unit
# * crystal system: hexagonal
# * calculated total energy: -21.027 eV/f.u.

# 5
# ErTm5Tl8, optimized geometry, DFT PBE
data_ErTm5Tl8
_chemical_formula_sum 'Er2 Tm10 Tl16'
_symmetry_space_group_name_H-M 'I -4'
_symmetry_Int_Tables_number 82
_cell_length_a 9.183
_cell_length_b 9.183
_cell_length_c 9.214
_cell_angle_alpha 90.00
_cell_angle_beta 90.00
_cell_angle_gamma 90.00
loop_
_symmetry_equiv_pos_as_xyz
'x,y,z'
'y,-x,-z'
'-x,-y,z'
'-y,x,-z'
'x+1/2,y+1/2,z+1/2'
'y+1/2,-x+1/2,-z+1/2'
'-x+1/2,-y+1/2,z+1/2'
'-y+1/2,x+1/2,-z+1/2'
loop_
_atom_site_label
_atom_site_fract_x
_atom_site_fract_y
_atom_site_fract_z
Er1 0.000 0.000 0.000
Tm1 0.000 0.500 0.750
Tm2 0.126 0.746 0.372
Tl1 0.080 0.833 0.704
Tl2 0.084 0.668 0.042
# * DFT formation energy: -0.1815 eV per atom
# * total magnetization: 0.0 μB per formula unit
# * crystal system: tetragonal
# * calculated total energy: -48.391 eV/f.u.

# 6
# MnAl6Ni5, optimized geometry, DFT PBE
data_MnAl6Ni5
_chemical_formula_sum 'Mn2 Al12 Ni10'
_symmetry_space_group_name_H-M 'C m m m'
_symmetry_Int_Tables_number 65
_symmetry_space_group_name_Hall '-C 2 2'
_cell_length_a 4.086
_cell_length_b 12.274
_cell_length_c 5.795
_cell_angle_alpha 90.00
_cell_angle_beta 90.00
_cell_angle_gamma 90.00
loop_
_atom_site_label
_atom_site_fract_x
_atom_site_fract_y
_atom_site_fract_z
Mn1 0.000 0.000 0.000
Al1 0.000 0.165 0.249
Al2 0.000 0.500 0.250
Ni1 0.000 0.000 0.500
Ni2 0.000 0.329 0.500
Ni3 0.000 0.332 0.000
# * DFT formation energy: -0.5695 eV per atom
# * total magnetization: 0.0 μB per formula unit
# * crystal system: orthorhombic
# * calculated total energy: -67.366 eV/f.u.

# 7
# PaSiS4Br, optimized geometry, DFT PBE
data_PaSiS4Br
_chemical_formula_sum 'Pa4 Si4 S16 Br4'
_symmetry_space_group_name_H-M 'C 1 2/m 1'
_symmetry_Int_Tables_number 12
_cell_length_a 11.279
_cell_length_b 8.527
_cell_length_c 7.812
_cell_angle_alpha 90.00
_cell_angle_beta 105.44
_cell_angle_gamma 90.00
loop_
_symmetry_equiv_pos_as_xyz
'x,y,z'
'-x,-y,-z'
'-x,y,-z'
'x,-y,z'
'x+1/2,y+1/2,z'
'-x+1/2,-y+1/2,-z'
'-x+1/2,y+1/2,-z'
'x+1/2,-y+1/2,z'
loop_
_atom_site_label
_atom_site_fract_x
_atom_site_fract_y
_atom_site_fract_z
Pa1 0.227 0.000 0.126
Si1 0.142 0.500 0.286
S1 0.043 0.500 0.700
S2 0.174 0.317 0.113
S3 0.224 0.000 0.470
Br1 0.031 0.000 0.803
# * total magnetization: 0.0 μB per formula unit
# * crystal system: monoclinic
# * uncorrected formation energy: -0.995 eV per atom
# * calculated total energy: -40.068 eV/f.u.

Number 3 is which compound? Ba3CoSn

Which value of total magnetization does entry 2 give? 0.0 μB per formula unit